Entry 1:
Material: FeRh2W
Method: DFT, PBE
State: optimized geometry

Its total magnetization is 2.42 μB/f.u. For the energy above the lowest structure with this stoichiometry, the calculation gives 134 meV/atom. The final energy comes out at -72.45 eV per cell. Its formation energy is -0.027 eV per atom. The calculated volume comes out at 112 Å³/cell.

It has space group C2/m (No. 12), with a = 8.967 Å, b = 2.725 Å, c = 4.674 Å, α = 90.00°, β = 100.01° and γ = 90.00°. The distinct sites, in fractional coordinates, are Fe at (0.000, 0.000, 0.000), Rh at (0.248, 0.500, 0.245) and W at (0.000, 0.500, 0.500).

***

Entry 2:
Material: TbCe4Dy
Method: DFT, PBE
State: optimized geometry

Its total magnetization is 4.49 μB/f.u. The final energy comes out at -126.87 eV per cell. Its formation energy is 0.208 eV per atom. The calculated volume comes out at 712 Å³/cell.

It has space group F-43m (No. 216), with a = 8.931 Å, b = 8.931 Å, c = 8.931 Å, α = 90.00°, β = 90.00° and γ = 90.00°. The distinct sites, in fractional coordinates, are Tb at (0.000, 0.000, 0.000), Ce at (0.124, 0.124, 0.376) and Dy at (0.250, 0.250, 0.750).

***

Entry 3:
Material: RbTlSi3
Method: DFT, PBE
State: optimized geometry

The value obtained for the uncorrected formation energy is 9.76 eV per formula unit. Its total magnetization is 0.00 μB/f.u. For the energy above the lowest structure with this stoichiometry, the calculation gives 859 meV/atom. The final energy comes out at -9.84 eV per cell. The calculated volume comes out at 184 Å³/cell.

It has space group Pm-3m (No. 221), with a = 5.689 Å, b = 5.689 Å, c = 5.689 Å, α = 90.00°, β = 90.00° and γ = 90.00°. The distinct sites, in fractional coordinates, are Rb at (0.000, 0.000, 0.000), Tl at (0.500, 0.500, 0.500) and Si at (0.000, 0.000, 0.500).

***

Entry 4:
Material: Bi4TePd5
Method: DFT, PBE
State: optimized geometry

The value obtained for the uncorrected formation energy is -2.23 eV per formula unit. Its total magnetization is 0.00 μB/f.u. The final energy comes out at -93.73 eV per cell. The calculated volume comes out at 449 Å³/cell.

It has space group I4 (No. 79), with a = 8.847 Å, b = 8.847 Å, c = 5.742 Å, α = 90.00°, β = 90.00° and γ = 90.00°. The distinct sites, in fractional coordinates, are Bi at (0.073, 0.316, 0.000), Te at (0.000, 0.000, 0.318), Pd at (0.000, 0.000, 0.823) and Pd at (0.095, 0.258, 0.514).

***

Entry 5:
Material: YNi5Sn2
Method: DFT, PBE
State: optimized geometry

Its total magnetization is 0.00 μB/f.u. The final energy comes out at -90.97 eV per cell. Its formation energy is -0.263 eV per atom. The calculated volume comes out at 260 Å³/cell.

It has space group Immm (No. 71), with a = 3.717 Å, b = 6.454 Å, c = 10.841 Å, α = 90.00°, β = 90.00° and γ = 90.00°. The distinct sites, in fractional coordinates, are Y at (0.000, 0.000, 0.000), Ni at (0.000, 0.191, 0.388), Ni at (0.000, 0.500, 0.000) and Sn at (0.000, 0.500, 0.242).

***

Entry 6:
Material: Pm4HoZn4
Method: DFT, PBE
State: optimized geometry

Its total magnetization is 0.00 μB/f.u. The final energy comes out at -58.77 eV per cell. Its formation energy is -0.079 eV per atom. The calculated volume comes out at 491 Å³/cell.

It has space group P4_2/n (No. 86, origin choice 2), with a = 8.769 Å, b = 8.769 Å, c = 6.384 Å, α = 90.00°, β = 90.00° and γ = 90.00°. The distinct sites, in fractional coordinates, are Pm at (0.028, 0.657, 0.144), Ho at (0.250, 0.250, 0.250) and Zn at (0.023, 0.635, 0.604).